Below is a relaxed structure of Sm8AgRh5, with properties calculated at the GGA-PBE level.

```
Sm8AgRh5
1.0
-4.442 4.442 4.384
4.442 -4.442 4.384
4.442 4.442 -4.384
Sm Ag Rh
8 1 5
Direct
0.254 0.498 0.114
0.377 0.130 0.364
0.384 0.140 0.886
0.502 0.616 0.756
0.766 0.013 0.636
0.860 0.746 0.244
0.870 0.234 0.247
0.987 0.623 0.753
0.250 0.750 0.500
0.000 0.000 0.000
0.130 0.245 0.622
0.492 0.870 0.115
0.623 0.508 0.378
0.755 0.377 0.885
```

Summary:
Symmetry: I-4, No. 82
Formation enthalpy at 0 K: -603 meV/atom

=====

Below is a relaxed structure of Ac2Sn3Ir4Pd, with properties calculated at the GGA-PBE level.

```
Ac2Sn3Ir4Pd
1.0
4.421 0.000 0.000
0.000 4.421 0.000
0.000 0.000 11.432
Ac Sn Ir Pd
2 3 4 1
Direct
0.000 0.500 0.241
0.500 0.000 0.759
0.000 0.000 0.000
0.000 0.500 0.627
0.500 0.000 0.373
0.000 0.000 0.500
0.000 0.500 0.858
0.500 0.000 0.142
0.500 0.500 0.500
0.500 0.500 0.000
```

Summary:
Symmetry: P-4m2, No. 115
Formation enthalpy at 0 K: -517 meV/atom

=====

Below is a relaxed structure of Sc5Sn2HgIr2, with properties calculated at the GGA-PBE level.

```
Sc5Sn2HgIr2
1.0
11.283 0.000 0.000
0.000 11.283 0.000
0.000 0.000 3.420
Sc Sn Hg Ir
10 4 2 4
Direct
0.000 0.500 0.000
0.074 0.204 0.000
0.204 0.926 0.000
0.296 0.426 0.000
0.426 0.704 0.000
0.500 0.000 0.000
0.574 0.296 0.000
0.704 0.574 0.000
0.796 0.074 0.000
0.926 0.796 0.000
0.172 0.672 0.500
0.328 0.172 0.500
0.672 0.828 0.500
0.828 0.328 0.500
0.000 0.000 0.500
0.500 0.500 0.500
0.131 0.369 0.500
0.369 0.869 0.500
0.631 0.131 0.500
0.869 0.631 0.500
```

Summary:
Symmetry: P4/mbm, No. 127
Formation enthalpy at 0 K: -611 meV/atom

=====

Below is a relaxed structure of ZrPaAu, with properties calculated at the GGA-PBE level.

```
ZrPaAu
1.0
4.890 0.000 0.000
-2.445 4.235 0.000
0.000 0.000 6.281
Zr Pa Au
2 2 2
Direct
0.000 0.000 0.248
0.000 0.000 0.752
0.333 0.667 0.413
0.667 0.333 0.587
0.333 0.667 0.914
0.667 0.333 0.086
```

Summary:
Offset from the most stable computed form: 55.3 meV/atom
Symmetry: P-3m1, No. 164
Formation enthalpy at 0 K: -52 meV/atom

=====

Below is a relaxed structure of IrOsBr2, with properties calculated at the GGA-PBE level.

```
IrOsBr2
1.0
3.229 -1.827 0.000
3.229 1.827 0.000
-1.655 0.000 8.428
Ir Os Br
1 1 2
Direct
0.000 0.000 0.000
0.639 0.639 0.860
0.153 0.153 0.644
0.365 0.365 0.211
```

Summary:
Offset from the most stable computed form: 0.0 meV/atom
Symmetry: Cm, No. 8
Energy relative to the elements, uncorrected: 0.3933 eV/atom

=====

Below is a relaxed structure of Ac2InGePt6, with properties calculated at the GGA-PBE level.

```
Ac2InGePt6
1.0
5.613 0.000 0.000
2.795 6.117 0.000
2.802 -0.262 6.560
Ac In Ge Pt
2 1 1 6
Direct
0.039 0.210 0.212
0.961 0.790 0.788
0.500 0.500 0.000
0.500 0.000 0.500
0.012 0.247 0.732
0.355 0.394 0.396
0.492 0.753 0.268
0.508 0.247 0.732
0.645 0.606 0.604
0.988 0.753 0.268
```

Summary:
Symmetry: P-1, No. 2
Formation enthalpy at 0 K: -817 meV/atom

=====

Below is a relaxed structure of CeGdThPa, with properties calculated at the GGA-PBE level.

```
CeGdThPa
1.0
0.000 3.876 3.876
3.876 0.000 3.876
3.876 3.876 0.000
Ce Gd Th Pa
1 1 1 1
Direct
0.000 0.000 0.000
0.750 0.750 0.750
0.500 0.500 0.500
0.250 0.250 0.250
```

Summary:
Symmetry: F-43m, No. 216
Formation enthalpy at 0 K: 321 meV/atom

=====

Below is a relaxed structure of Ce4PdRh12, with properties calculated at the GGA-PBE level.

```
Ce4PdRh12
1.0
-4.203 4.203 4.203
4.203 -4.203 4.203
4.203 4.203 -4.203
Ce Pd Rh
4 1 12
Direct
0.000 0.000 0.500
0.000 0.500 0.000
0.500 0.000 0.000
0.500 0.500 0.500
0.000 0.000 0.000
0.000 0.302 0.302
0.000 0.698 0.698
0.250 0.500 0.750
0.250 0.750 0.500
0.302 0.000 0.302
0.302 0.302 0.000
0.500 0.250 0.750
0.500 0.750 0.250
0.698 0.000 0.698
0.698 0.698 0.000
0.750 0.250 0.500
0.750 0.500 0.250
```

Summary:
Symmetry: Im-3m, No. 229
Formation enthalpy at 0 K: -482 meV/atom

=====

no.,final energy (eV/atom)
1,-6.13
2,-6.60
3,-6.38
4,-7.16
5,-5.47
6,-6.00
7,-8.91
8,-7.37